The following is a DFT calculation (PBE with a Hubbard U) of crystalline BaHoCr2O8 at its relaxed geometry.

Geometry as POSCAR:
```
BaHoCr2O8
1.0
5.691 0.000 0.000
-2.845 4.928 0.000
0.000 0.000 7.623
Ba Ho Cr O
1 1 2 8
Direct
0.000 0.000 0.000
0.000 0.000 0.500
0.333 0.667 0.766
0.667 0.333 0.234
0.170 0.339 0.695
0.170 0.830 0.695
0.333 0.667 0.983
0.339 0.170 0.305
0.661 0.830 0.695
0.667 0.333 0.017
0.830 0.170 0.305
0.830 0.661 0.305
```

* magnetic moment: 0.08 μB per atom
* density of states at the Fermi level: 6.1 states/eV/cell
* SG: P-3m1, No. 164
* total DFT energy (no corrections): -7.1960 eV per atom